Record 1
This record from the Alexandria database describes an optimized crystal structure of CrPO5. The functional is PBEsol.

a b c (Å): 6.8785 7.1926 7.2254
angles (deg): 87.15 89.97 67.59
Closest atoms and distances in Å follow each position.
Fractional coordinates of all 28 atoms:
Cr1 0.1914 0.0430 0.2776  1 O 1.55
Cr2 0.3003 0.4439 0.7812  1 O 1.55
Cr3 0.6997 0.5561 0.2188  1 O 1.55
Cr4 0.8086 0.9570 0.7224  1 O 1.55
P1 0.0388 0.7332 0.0895  4 O 1.54-1.55
P2 0.4685 0.2629 0.4097  4 O 1.53-1.55
P3 0.5315 0.7371 0.5903  4 O 1.53-1.55
P4 0.9612 0.2668 0.9105  4 O 1.54-1.55
O1 0.0072 0.7952 0.6423  1 Cr 1.55
O2 0.0439 0.4209 0.8213  1 P 1.54
O3 0.1164 0.8219 0.2509  1 P 1.54
O4 0.1397 0.1008 0.0246  1 P 1.55
O5 0.2290 0.6299 0.9664  1 P 1.54
O6 0.2862 0.3606 0.5443  1 P 1.55
O7 0.3435 0.9018 0.4894  1 P 1.53
O8 0.3801 0.1716 0.2559  1 P 1.55
O9 0.4623 0.2478 0.8762  1 Cr 1.55
O10 0.4663 0.5765 0.6868  1 P 1.53
O11 0.5337 0.4235 0.3132  1 P 1.53
O12 0.5377 0.7522 0.1238  1 Cr 1.55
O13 0.6199 0.8284 0.7441  1 P 1.55
O14 0.6565 0.0982 0.5106  1 P 1.53
O15 0.7138 0.6394 0.4557  1 P 1.55
O16 0.7710 0.3701 0.0336  1 P 1.54
O17 0.8603 0.8992 0.9754  1 P 1.55
O18 0.8836 0.1781 0.7491  1 P 1.54
O19 0.9561 0.5791 0.1787  1 P 1.54
O20 0.9928 0.2048 0.3577  1 Cr 1.55

Summary:
The value obtained for the formation energy without anion corrections is -1.922 eV/atom.



Record 2
This record from the Alexandria database describes an optimized crystal structure of BeFeTe3. The functional is PBEsol.

a b c (Å): 4.9754 4.9754 4.9754
angles (deg): 90.00 90.00 90.00
Closest atoms and distances in Å follow each position.
Fractional coordinates of all 5 atoms:
Be1 0.0000 0.0000 0.0000  12 Te 3.52
Fe1 0.5000 0.5000 0.5000  6 Te 2.49
Te1 0.0000 0.5000 0.5000  2 Fe 2.49
Te2 0.5000 0.0000 0.5000  2 Fe 2.49
Te3 0.5000 0.5000 0.0000  2 Fe 2.49

Summary:
The value obtained for the formation energy without anion corrections is 0.841 eV/atom.



Record 3
This record from the Alexandria database describes an optimized crystal structure of TlCr2Os. The functional is PBEsol.

a b c (Å): 2.8022 3.6682 5.7773
angles (deg): 90.00 90.00 90.00
Closest atoms and distances in Å follow each position.
Fractional coordinates of all 4 atoms:
Tl1 0.0000 0.0000 0.0000  2 Tl 2.80, 6 Cr 2.81-2.97, 4 Os 2.96
Cr1 0.0000 0.0000 0.4865  4 Os 2.56, 6 Cr 2.57-2.80, 1 Tl 2.81
Cr2 0.5000 0.5000 0.2903  1 Os 2.25
Os1 0.5000 0.5000 0.6796  1 Cr 2.25

Summary:
For the formation energy, the calculation gives 0.6007 eV per atom.



| no. | electronic total energy (eV for the cell shown) | M_tot (Bohr magnetons per cell) | calculated density (g/cm3) |
| --- | --- | --- | --- |
| 1 | -222.94 | 4.00 | 3.28 |
| 2 | -19.34 | 2.41 | 6.04 |
| 3 | -32.93 | 0.00 | 13.94 |